VASP calculation (PBE) on a relaxed structure of PmSm2Er5Th.

The volume comes out at 1153.0 Å³/cell. For the formation energy, the calculation gives 2.6 eV per formula unit. The value obtained for the total energy is -4.642 eV per atom.

It has space group I4/mcm (No. 140), with a = 8.695 Å, b = 8.695 Å, c = 15.252 Å, α = 90.00°, β = 90.00° and γ = 90.00°. The asymmetric unit holds Pm at (0.000, 0.500, 0.250), Sm at (0.116, 0.384, 0.000), Er at (0.000, 0.000, 0.000), Er at (0.211, 0.289, 0.362) and Th at (0.000, 0.000, 0.250).